Record 1
A relaxed PrNpZn4 crystal. Source: Alexandria, functional GGA-PBE.

Energy of formation from the pure elements: -30 kJ/mol of formula units
Fermi-level density of states: 1.45 states/eV/atom

```
PrNpZn4
1.0
5.5330 0.0000 0.0000
2.7665 4.7917 0.0000
2.7665 1.5972 4.5177
Zn Np Pr
4 1 1
direct
0.6252 0.1244 0.6252
0.6252 0.6252 0.6252
0.1244 0.6252 0.6252
0.6252 0.6252 0.1244
0.0000 0.0000 0.0000
0.2500 0.2500 0.2500
```

---

Record 2
A relaxed Pr2NpZn crystal. Source: Alexandria, functional GGA-PBE.

Energy of formation from the pure elements: 179 kJ/mol of formula units
Fermi-level density of states: 2.49 states/eV/atom

```
Pr2NpZn
1.0
-1.2896 0.2196 -3.1527
0.8087 -2.3477 -2.3420
-9.3362 -7.1659 1.4722
Zn Np Pr
1 1 2
direct
0.5000 0.5000 0.5000
0.0000 0.0000 0.0000
0.0973 0.0973 0.7080
0.9027 0.9027 0.2920
```

---

Question: The highest energy of formation from the pure elements belongs to which entry?
Answer: Pr2NpZn

---

Question: Among the records above, which one has the highest Fermi-level density of states?
Answer: Pr2NpZn

---

Question: Which formula does entry 1 have?
Answer: PrNpZn4

---

Question: Among the records above, which one has the lowest Fermi-level density of states?
Answer: PrNpZn4